(1)
An optimized crystal structure of KCaY. Source: Alexandria via LeMat-Bulk, functional GGA-PBE.

For the formation energy, the calculation gives 940 meV/atom. As for the energy above the lowest structure with this stoichiometry: 0.6696 eV per atom. As for the crystal system: cubic.

a b c (Å): 8.7522 8.7522 8.7522
angles (deg): 90.00 90.00 90.00
With the nearest neighbours (Å) after each atom.
Space group F-43m (No. 216)
One atom of each set of equivalent atoms:
1 K 0.0000 0.0000 0.0000 x4  4 Y 3.79
2 Ca 0.0000 0.0000 0.5000 x4  4 Y 3.79
3 Y 0.2500 0.2500 0.2500 x4  4 Ca 3.79, 4 K 3.79


(2)
An optimized crystal structure of BaRhIN2. Source: Alexandria via LeMat-Bulk, functional GGA-PBE.

As for the uncorrected formation energy: 638 meV per atom. As for the energy above the lowest structure with this stoichiometry: 0.0000 eV per atom. As for the crystal system: tetragonal.

a b c (Å): 4.4405 4.4405 5.3778
angles (deg): 90.00 90.00 90.00
With the nearest neighbours (Å) after each atom.
Space group P4/mmm (No. 123)
One atom of each set of equivalent atoms:
1 Ba 0.0000 0.0000 0.0000 x1  4 I 3.14, 8 N 3.49
2 Rh 0.5000 0.5000 0.5000 x1  4 N 2.22
3 I 0.5000 0.5000 0.0000 x1  2 Rh 2.69
4 N 0.0000 0.5000 0.5000 x2  2 Rh 2.22


(3)
An optimized crystal structure of Ho2Al2GeRu5. Source: Alexandria via LeMat-Bulk, functional GGA-PBE.

For the formation energy, the calculation gives -418 meV/atom. As for the crystal system: tetragonal.

a b c (Å): 10.0143 10.0143 3.2866
angles (deg): 90.00 90.00 90.00
With the nearest neighbours (Å) after each atom.
Space group P4/mbm (No. 127)
One atom of each set of equivalent atoms:
1 Ho 0.1703 0.3297 0.0000 x4  3 Al 2.84-3.02, 10 Ru 2.92-3.15
2 Al 0.1289 0.6289 0.0000 x4  6 Ru 2.46-2.51
3 Ge 0.0000 0.0000 0.0000 x2  8 Ru 2.62
4 Ru 0.0000 0.5000 0.5000 x2  4 Al 2.46
5 Ru 0.0620 0.8056 0.5000 x8  2 Al 2.51, 2 Ge 2.62


(4)
An optimized crystal structure of NaGe4Se7. Source: Alexandria via LeMat-Bulk, functional GGA-PBE.

As for the uncorrected formation energy: -295 meV per atom. As for the crystal system: orthorhombic.

a b c (Å): 17.0108 6.2588 6.2986
angles (deg): 90.00 90.00 90.00
With the nearest neighbours (Å) after each atom.
Space group Pmn2_1 (No. 31)
One atom of each set of equivalent atoms:
1 Na 0.0000 0.2014 0.0000 x2  4 Se 3.07-3.17
2 Ge 0.1070 0.6840 0.3279 x4  4 Se 2.37-2.47
3 Ge 0.2502 0.2216 0.3768 x4  4 Se 2.63-2.73
4 Se 0.0000 0.8641 0.5098 x2  2 Ge 2.43
5 Se 0.0927 0.7645 0.9617 x4  1 Ge 2.37
6 Se 0.0949 0.3136 0.4001 x4  1 Ge 2.37
7 Se 0.2366 0.8107 0.4524 x4  3 Ge 2.47-2.69


(5)
An optimized crystal structure of Ho2SbP. Source: Alexandria via LeMat-Bulk, functional GGA-PBE.

As for the uncorrected formation energy: -1330 meV per atom. As for the crystal system: trigonal.

a b c (Å): 4.1336 4.1336 20.8256
angles (deg): 90.00 90.00 120.00
With the nearest neighbours (Å) after each atom.
Space group R-3m (No. 166, hexagonal axes)
One atom of each set of equivalent atoms:
1 Ho 0.0000 0.0000 0.2414 x6  3 P 2.85, 3 Sb 3.06
2 Sb 0.0000 0.0000 0.0000 x3  6 Ho 3.06
3 P 0.0000 0.0000 0.5000 x3  6 Ho 2.85


(6)
An optimized crystal structure of K2SiHgO4. Source: Alexandria via LeMat-Bulk, functional GGA-PBE.

As for the uncorrected formation energy: -1599 meV per atom. As for the crystal system: orthorhombic.

a b c (Å): 5.6314 11.6107 20.8336
angles (deg): 90.00 90.00 90.00
With the nearest neighbours (Å) after each atom.
Space group Fddd (No. 70, origin choice 2)
One atom of each set of equivalent atoms:
1 K 0.1250 0.1250 0.3115 x16  4 O 2.93-3.09
2 Si 0.1250 0.1250 0.6250 x8  4 O 1.67
3 Hg 0.1250 0.1250 0.1250 x8  4 O 2.26
4 O 0.0521 0.2876 0.8329 x32  1 Si 1.67


Question: Which formula does entry 6 have?
Answer: K2SiHgO4